(1)
## LaNd2Tl (PBE)

Data for a geometry-optimized LaNd2Tl structure.

Output
ΔE_f: -182 meV per atom
Total magnetization: 0.00 μB/cell
ΔE to the lowest computed polymorph: 34 meV/atom

```
data_LaNd2Tl
_space_group_name_H-M_alt 'P 1'
_space_group_IT_number 1
_cell_length_a 3.7642
_cell_length_b 3.7642
_cell_length_c 9.2788
_cell_angle_alpha 90.00
_cell_angle_beta 90.00
_cell_angle_gamma 90.00
loop_
_space_group_symop_operation_xyz
'x,y,z'
loop_
_atom_site_label
_atom_site_type_symbol
_atom_site_fract_x
_atom_site_fract_y
_atom_site_fract_z
_atom_site_occupancy
Nd1 Nd 0.0000 0.0000 0.7747 1
Tl1 Tl 0.5000 0.5000 0.0000 1
Nd2 Nd 0.0000 0.0000 0.2253 1
La1 La 0.5000 0.5000 0.5000 1
```

(2)
## RbScSn (PBE)

Data for a geometry-optimized RbScSn structure.

Output
ΔE_f: 0 meV per atom
Total magnetization: 0.00 μB/cell
ΔE to the lowest computed polymorph: 349 meV/atom

```
data_RbScSn
_space_group_name_H-M_alt 'P 1'
_space_group_IT_number 1
_cell_length_a 8.5332
_cell_length_b 5.0756
_cell_length_c 12.6387
_cell_angle_alpha 90.00
_cell_angle_beta 90.00
_cell_angle_gamma 90.00
loop_
_space_group_symop_operation_xyz
'x,y,z'
loop_
_atom_site_label
_atom_site_type_symbol
_atom_site_fract_x
_atom_site_fract_y
_atom_site_fract_z
_atom_site_occupancy
Sn1 Sn 0.6921 0.7500 0.5823 1
Sn2 Sn 0.3079 0.2500 0.4177 1
Sc1 Sc 0.0336 0.2500 0.9137 1
Rb1 Rb 0.3743 0.2500 0.1234 1
Sc2 Sc 0.4664 0.7500 0.4137 1
Rb2 Rb 0.8743 0.2500 0.3766 1
Sn3 Sn 0.8079 0.2500 0.0823 1
Rb3 Rb 0.6257 0.7500 0.8766 1
Sc3 Sc 0.5336 0.2500 0.5863 1
Sn4 Sn 0.1921 0.7500 0.9177 1
Sc4 Sc 0.9664 0.7500 0.0863 1
Rb4 Rb 0.1257 0.7500 0.6234 1
```

(3)
## V3HPt (PBE)

Data for a geometry-optimized V3HPt structure.

Output
Total magnetization: 0.00 μB/cell
ΔE to the lowest computed polymorph: 43 meV/atom

```
data_V3HPt
_space_group_name_H-M_alt 'P 1'
_space_group_IT_number 1
_cell_length_a 4.4623
_cell_length_b 5.3872
_cell_length_c 5.6787
_cell_angle_alpha 121.92
_cell_angle_beta 90.00
_cell_angle_gamma 90.00
loop_
_space_group_symop_operation_xyz
'x,y,z'
loop_
_atom_site_label
_atom_site_type_symbol
_atom_site_fract_x
_atom_site_fract_y
_atom_site_fract_z
_atom_site_occupancy
V1 V 0.7500 0.2065 0.3639 1
Pt1 Pt 0.7500 0.6812 0.3403 1
H1 H 0.5000 0.0000 0.0000 1
V2 V 0.7500 0.7049 0.8525 1
V3 V 0.2500 0.7944 0.1584 1
V4 V 0.2500 0.7934 0.6361 1
H2 H 0.0000 0.0000 0.0000 1
V5 V 0.2500 0.2951 0.1475 1
V6 V 0.7500 0.2056 0.8416 1
Pt2 Pt 0.2500 0.3188 0.6597 1
```

(4)
## FeRe2Ag (PBE)

Data for a geometry-optimized FeRe2Ag structure.

Output
ΔE_f: 411 meV per atom
Total magnetization: 2.48 μB/cell
ΔE to the lowest computed polymorph: 125 meV/atom

```
data_FeRe2Ag
_space_group_name_H-M_alt 'P 1'
_space_group_IT_number 1
_cell_length_a 2.6406
_cell_length_b 2.6406
_cell_length_c 9.1622
_cell_angle_alpha 90.00
_cell_angle_beta 90.00
_cell_angle_gamma 110.41
loop_
_space_group_symop_operation_xyz
'x,y,z'
loop_
_atom_site_label
_atom_site_type_symbol
_atom_site_fract_x
_atom_site_fract_y
_atom_site_fract_z
_atom_site_occupancy
Ag1 Ag 0.5000 0.5000 0.2500 1
Re1 Re 0.0000 0.0000 0.5226 1
Fe1 Fe 0.5000 0.5000 0.7500 1
Re2 Re 0.0000 0.0000 0.9774 1
```

(5)
## Rb2NaRuO6 (PBE)

Data for a geometry-optimized Rb2NaRuO6 structure.

Output
Total magnetization: 1.05 μB/cell
Formation energy without anion corrections: -0.914 eV/atom

```
data_Rb2NaRuO6
_space_group_name_H-M_alt 'P 1'
_space_group_IT_number 1
_cell_length_a 5.8906
_cell_length_b 6.2657
_cell_length_c 6.2657
_cell_angle_alpha 120.00
_cell_angle_beta 90.00
_cell_angle_gamma 90.00
loop_
_space_group_symop_operation_xyz
'x,y,z'
loop_
_atom_site_label
_atom_site_type_symbol
_atom_site_fract_x
_atom_site_fract_y
_atom_site_fract_z
_atom_site_occupancy
O1 O 0.8141 0.7191 0.8596 1
O2 O 0.1859 0.2809 0.1404 1
O3 O 0.8141 0.1404 0.8596 1
Rb1 Rb 0.1693 0.3333 0.6667 1
O4 O 0.1859 0.8596 0.7191 1
Rb2 Rb 0.8307 0.6667 0.3333 1
Ru1 Ru 0.0000 0.0000 0.0000 1
O5 O 0.1859 0.8596 0.1404 1
Na1 Na 0.5000 0.0000 0.0000 1
O6 O 0.8141 0.1404 0.2809 1
```

(6)
## LaCe2Pt9 (PBE)

Data for a geometry-optimized LaCe2Pt9 structure.

Output
ΔE_f: -936 meV per atom
Total magnetization: 1.13 μB/cell

```
data_LaCe2Pt9
_space_group_name_H-M_alt 'P 1'
_space_group_IT_number 1
_cell_length_a 5.4593
_cell_length_b 5.4593
_cell_length_c 9.5024
_cell_angle_alpha 73.31
_cell_angle_beta 73.31
_cell_angle_gamma 60.00
loop_
_space_group_symop_operation_xyz
'x,y,z'
loop_
_atom_site_label
_atom_site_type_symbol
_atom_site_fract_x
_atom_site_fract_y
_atom_site_fract_z
_atom_site_occupancy
Ce1 Ce 0.1399 0.1399 0.5802 1
Pt1 Pt 0.5871 0.5871 0.7441 1
Pt2 Pt 0.4129 0.9183 0.2559 1
Pt3 Pt 0.6673 0.6673 0.9982 1
Pt4 Pt 0.3327 0.3327 0.0018 1
Pt5 Pt 0.5000 0.5000 0.5000 1
Pt6 Pt 0.0817 0.5871 0.7441 1
Ce2 Ce 0.8601 0.8601 0.4198 1
Pt7 Pt 0.9183 0.4129 0.2559 1
La1 La 0.0000 0.0000 0.0000 1
Pt8 Pt 0.4129 0.4129 0.2559 1
Pt9 Pt 0.5871 0.0817 0.7441 1
```

(7)
## Na2CuP4O12 (PBE)

Data for a geometry-optimized Na2CuP4O12 structure.

Output
Total magnetization: 1.86 μB/cell
Formation energy without anion corrections: -2.016 eV/atom

```
data_Na2CuP4O12
_space_group_name_H-M_alt 'P 1'
_space_group_IT_number 1
_cell_length_a 8.2798
_cell_length_b 8.2798
_cell_length_c 7.9456
_cell_angle_alpha 87.44
_cell_angle_beta 87.44
_cell_angle_gamma 110.12
loop_
_space_group_symop_operation_xyz
'x,y,z'
loop_
_atom_site_label
_atom_site_type_symbol
_atom_site_fract_x
_atom_site_fract_y
_atom_site_fract_z
_atom_site_occupancy
P1 P 0.7628 0.4455 0.8762 1
O1 O 0.6923 0.4079 0.0549 1
Cu1 Cu 0.8642 0.1358 0.7500 1
O2 O 0.8391 0.6512 0.8426 1
O3 O 0.4079 0.6923 0.5549 1
P2 P 0.4455 0.7628 0.3762 1
O4 O 0.1660 0.0918 0.3297 1
Na1 Na 0.1833 0.4718 0.6928 1
O5 O 0.3077 0.5921 0.9451 1
P3 P 0.0676 0.2159 0.3181 1
P4 P 0.2372 0.5545 0.1238 1
O6 O 0.6064 0.3936 0.7500 1
O7 O 0.3723 0.8984 0.3141 1
Na2 Na 0.4718 0.1833 0.1928 1
O8 O 0.3101 0.0485 0.9684 1
O9 O 0.0485 0.3101 0.4684 1
O10 O 0.6899 0.9515 0.0316 1
O11 O 0.1207 0.8793 0.7500 1
Na3 Na 0.8167 0.5282 0.3072 1
O12 O 0.9082 0.8340 0.1703 1
O13 O 0.8793 0.1207 0.2500 1
O14 O 0.1016 0.6277 0.1859 1
O15 O 0.3936 0.6064 0.2500 1
P5 P 0.7841 0.9324 0.1819 1
O16 O 0.8340 0.9082 0.6703 1
O17 O 0.1609 0.3488 0.1574 1
O18 O 0.3488 0.1609 0.6574 1
O19 O 0.8984 0.3723 0.8141 1
Na4 Na 0.5282 0.8167 0.8072 1
Cu2 Cu 0.1358 0.8642 0.2500 1
O20 O 0.5921 0.3077 0.4451 1
O21 O 0.0918 0.1660 0.8297 1
P6 P 0.5545 0.2372 0.6238 1
O22 O 0.6512 0.8391 0.3426 1
O23 O 0.9515 0.6899 0.5316 1
P7 P 0.2159 0.0676 0.8181 1
P8 P 0.9324 0.7841 0.6819 1
O24 O 0.6277 0.1016 0.6859 1
```

(8)
## KSrRh3 (PBE)

Data for a geometry-optimized KSrRh3 structure.

Output
ΔE_f: 1403 meV per atom
Total magnetization: 1.79 μB/cell
ΔE to the lowest computed polymorph: 0 meV/atom

```
data_KSrRh3
_space_group_name_H-M_alt 'P 1'
_space_group_IT_number 1
_cell_length_a 5.1984
_cell_length_b 5.1984
_cell_length_c 5.1984
_cell_angle_alpha 90.00
_cell_angle_beta 90.00
_cell_angle_gamma 90.00
loop_
_space_group_symop_operation_xyz
'x,y,z'
loop_
_atom_site_label
_atom_site_type_symbol
_atom_site_fract_x
_atom_site_fract_y
_atom_site_fract_z
_atom_site_occupancy
Sr1 Sr 0.0000 0.0000 0.0000 1
K1 K 0.5000 0.5000 0.5000 1
Rh1 Rh 0.0000 0.5000 0.0000 1
Rh2 Rh 0.5000 0.0000 0.0000 1
Rh3 Rh 0.0000 0.0000 0.5000 1
```

Listing energy for the structures above in their given order: -4.389 -3.767 -7.621 -8.642 -5.142 -6.866 -6.641 -3.564 eV/atom.